Here is an optimized crystal structure of Ga2Ni3Se2 from OQMD. Energies are from PBE-GGA.

a = 5.5368 Å, b = 5.5368 Å, c = 5.5368 Å
α = 56.26°, β = 56.26°, γ = 56.26°
Element x y z (fractional)
Ga (0.0000, 0.0000, 0.0000)
Ga (0.5000, 0.5000, 0.5000)
Ni (0.5000, 0.5000, 0.0000)
Ni (0.5000, 0.0000, 0.5000)
Ni (0.0000, 0.5000, 0.5000)
Se (0.2097, 0.2097, 0.2097)
Se (0.7903, 0.7903, 0.7903)

SG: R-3m (166)
Energy: -31.76 eV per cell
Mass density: 7.17 g/cm3